Entry 1:
# SmTmP2 | Alexandria via LeMat-Bulk | PBE | optimized geometry
# * spin magnetization: 0.000 μB/atom
# * energy: -79.0 eV/cell
# * distance to the lowest polymorph of the same formula: 0.00 eV per formula unit
data_SmTmP2
_chemical_formula_sum 'Sm3 Tm3 P6'
_space_group_name_H-M_alt 'R -3 m'
_space_group_IT_number 166
_space_group_name_Hall '-R 3 2"'
_cell_length_a 4.0323
_cell_length_b 4.0323
_cell_length_c 19.7084
_cell_angle_alpha 90.00
_cell_angle_beta 90.00
_cell_angle_gamma 120.00
loop_
_atom_site_label
_atom_site_type_symbol
_atom_site_fract_x
_atom_site_fract_y
_atom_site_fract_z
Sm1 Sm 0.0000 0.0000 0.0000
Tm1 Tm 0.0000 0.0000 0.5000
P1 P 0.0000 0.0000 0.2467


Entry 2:
# GaTeBrN2 | Alexandria via LeMat-Bulk | PBE | optimized geometry
# * spin magnetization: 0.694 μB/atom
# * energy: -18.2 eV/cell
# * distance to the lowest polymorph of the same formula: 0.00 eV per formula unit
data_GaTeBrN2
_chemical_formula_sum 'Ga1 Te1 Br1 N2'
_space_group_name_H-M_alt 'P 4/m m m'
_space_group_IT_number 123
_space_group_name_Hall '-P 4 2'
_cell_length_a 4.0821
_cell_length_b 4.0821
_cell_length_c 6.1425
_cell_angle_alpha 90.00
_cell_angle_beta 90.00
_cell_angle_gamma 90.00
loop_
_atom_site_label
_atom_site_type_symbol
_atom_site_fract_x
_atom_site_fract_y
_atom_site_fract_z
Ga1 Ga 0.0000 0.0000 0.0000
Te1 Te 0.0000 0.0000 0.5000
Br1 Br 0.5000 0.5000 0.5000
N1 N 0.0000 0.5000 0.0000


Entry 3:
# Ba2LaSc | Alexandria via LeMat-Bulk | PBE | optimized geometry
# * spin magnetization: 0.031 μB/atom
# * energy: -27.4 eV/cell
# * distance to the lowest polymorph of the same formula: 0.73 eV per formula unit
data_Ba2LaSc
_chemical_formula_sum 'Ba4 La2 Sc2'
_space_group_name_H-M_alt 'I 4/m m m'
_space_group_IT_number 139
_space_group_name_Hall '-I 4 2'
_cell_length_a 5.4140
_cell_length_b 5.4140
_cell_length_c 11.3941
_cell_angle_alpha 90.00
_cell_angle_beta 90.00
_cell_angle_gamma 90.00
loop_
_atom_site_label
_atom_site_type_symbol
_atom_site_fract_x
_atom_site_fract_y
_atom_site_fract_z
Ba1 Ba 0.0000 0.5000 0.2500
La1 La 0.0000 0.0000 0.0000
Sc1 Sc 0.0000 0.0000 0.5000


Entry 4:
# Cs2K5Ge4 | Alexandria via LeMat-Bulk | PBE | optimized geometry
# * spin magnetization: 0.001 μB/atom
# * energy: -51.7 eV/cell
data_Cs2K5Ge4
_chemical_formula_sum 'Cs4 K10 Ge8'
_space_group_name_H-M_alt 'C 1 2/m 1'
_space_group_IT_number 12
_cell_length_a 15.8161
_cell_length_b 7.8734
_cell_length_c 10.4252
_cell_angle_alpha 90.00
_cell_angle_beta 123.69
_cell_angle_gamma 90.00
loop_
_space_group_symop_operation_xyz
'x,y,z'
'-x,-y,-z'
'-x,y,-z'
'x,-y,z'
'x+1/2,y+1/2,z'
'-x+1/2,-y+1/2,-z'
'-x+1/2,y+1/2,-z'
'x+1/2,-y+1/2,z'
loop_
_atom_site_label
_atom_site_type_symbol
_atom_site_fract_x
_atom_site_fract_y
_atom_site_fract_z
Cs1 Cs 0.2363 0.0000 0.0980
K1 K 0.0000 0.5000 0.0000
K2 K 0.1070 0.2439 0.3950
Ge1 Ge 0.0804 0.0000 0.6495
Ge2 Ge 0.2445 0.5000 0.2745


Entry 5:
# BeSbAu | Alexandria via LeMat-Bulk | PBE | optimized geometry
# * spin magnetization: 0.000 μB/atom
# * energy: -22.4 eV/cell
data_BeSbAu
_chemical_formula_sum 'Be2 Sb2 Au2'
_space_group_name_H-M_alt 'P 1'
_space_group_IT_number 1
_cell_length_a 3.1542
_cell_length_b 4.4138
_cell_length_c 8.8505
_cell_angle_alpha 94.23
_cell_angle_beta 95.01
_cell_angle_gamma 110.89
loop_
_space_group_symop_operation_xyz
'x,y,z'
loop_
_atom_site_label
_atom_site_type_symbol
_atom_site_fract_x
_atom_site_fract_y
_atom_site_fract_z
Be1 Be 0.0000 0.0000 0.0000
Be2 Be 0.2690 0.5619 0.8962
Sb1 Sb 0.1731 0.4925 0.5970
Sb2 Sb 0.6049 0.9581 0.2858
Au1 Au 0.4936 0.0822 0.7947
Au2 Au 0.7694 0.4624 0.0932


Entry 6:
# TbMg2Rh2 | Alexandria via LeMat-Bulk | PBE | optimized geometry
# * spin magnetization: 0.000 μB/atom
# * energy: -50.3 eV/cell
# * distance to the lowest polymorph of the same formula: 0.00 eV per formula unit
data_TbMg2Rh2
_chemical_formula_sum 'Tb2 Mg4 Rh4'
_space_group_name_H-M_alt 'P 1 21/m 1'
_space_group_IT_number 11
_cell_length_a 4.9856
_cell_length_b 4.6522
_cell_length_c 8.4165
_cell_angle_alpha 90.00
_cell_angle_beta 100.78
_cell_angle_gamma 90.00
loop_
_space_group_symop_operation_xyz
'x,y,z'
'-x,-y,-z'
'-x,y+1/2,-z'
'x,-y+1/2,z'
loop_
_atom_site_label
_atom_site_type_symbol
_atom_site_fract_x
_atom_site_fract_y
_atom_site_fract_z
Tb1 Tb 0.1851 0.2500 0.2839
Mg1 Mg 0.3005 0.2500 0.6655
Mg2 Mg 0.3598 0.7500 0.9669
Rh1 Rh 0.1015 0.2500 0.9301
Rh2 Rh 0.2522 0.7500 0.4987